InFeNi6: PBEsol geometry, SCAN.

Summary:
calculated formation energy = -71 meV/atom
DOS(E_F) = 14.0 states/eV per cell
V = 367.79 Å³/cell
space group = Cmmm, No. 65
total moment = 6.41 μB per formula unit

Cell: 6.201 6.201 10.172 Å, 90.00 90.00 109.90°
Site moments in Bohr magnetons follow the coordinates.
Element x y z (fractional)
Fe 0.252 0.748 0.500  3.19
Fe 0.748 0.252 0.500  3.19
Fe 0.000 0.000 0.746  3.21
Fe 0.000 0.000 0.254  3.21
In 0.255 0.745 0.000  -0.05
In 0.745 0.255 0.000  -0.05
In 0.500 0.500 0.747  -0.05
In 0.500 0.500 0.253  -0.05
Ni 0.245 0.755 0.739  0.66
Ni 0.884 0.640 0.868  0.53
Ni 0.116 0.360 0.868  0.53
Ni 0.755 0.245 0.739  0.66
Ni 0.360 0.116 0.868  0.53
Ni 0.640 0.884 0.868  0.53
Ni 0.500 0.500 0.500  0.61
Ni 0.114 0.370 0.619  0.74
Ni 0.370 0.114 0.619  0.74
Ni 0.245 0.755 0.261  0.66
Ni 0.886 0.630 0.381  0.74
Ni 0.114 0.370 0.381  0.74
Ni 0.755 0.245 0.261  0.66
Ni 0.370 0.114 0.381  0.74
Ni 0.630 0.886 0.381  0.74
Ni 0.500 0.500 0.000  0.36
Ni 0.116 0.360 0.132  0.53
Ni 0.360 0.116 0.132  0.53
Ni 0.000 0.000 0.500  0.81
Ni 0.630 0.886 0.619  0.74
Ni 0.886 0.630 0.619  0.74
Ni 0.000 0.000 0.000  0.63
Ni 0.640 0.884 0.132  0.53
Ni 0.884 0.640 0.132  0.53


InFeNi2: PBEsol geometry, SCAN.

Summary:
calculated formation energy = -49 meV/atom
DOS(E_F) = 2.5 states/eV per cell
V = 51.93 Å³/cell
space group = P4/mmm, No. 123
total moment = 3.88 μB per formula unit

Cell: 2.982 2.982 5.840 Å, 90.00 90.00 90.00°
Site moments in Bohr magnetons follow the coordinates.
Element x y z (fractional)
Fe 0.500 0.500 0.000  3.18
In 0.500 0.500 0.500  -0.05
Ni 0.000 0.000 0.788  0.45
Ni 0.000 0.000 0.212  0.45


InFe2Ni: PBEsol geometry, SCAN.

Summary:
calculated formation energy = 59 meV/atom
DOS(E_F) = 3.3 states/eV per cell
V = 52.00 Å³/cell
space group = Immm, No. 71
total moment = 5.69 μB per formula unit

Cell: 3.315 3.893 4.771 Å, 114.08 110.33 90.00°
Site moments in Bohr magnetons follow the coordinates.
Element x y z (fractional)
Fe 0.758 0.758 0.516  2.80
Fe 0.242 0.242 0.484  2.80
In 0.000 0.500 0.000  -0.16
Ni 0.500 0.000 0.000  0.46